Entry 1:
A crystal of Na3LiGa4Si8O24 relaxed with PBEsol, computed with SCAN.

Cell: 5.2886 8.6835 9.3919 Å, 90.00 104.09 90.00°
Last column: nearest neighbours and their distance in Å.
Space group P2 (No. 3)
Symmetry-distinct sites (fractional):
Na 0.0000 0.0000 0.0000 [1 per cell]  6 O 2.36-2.39
Na 0.0000 0.0980 0.5000 [1 per cell]  6 O 2.36-2.42
Na 0.5000 0.5009 0.5000 [1 per cell]  6 O 2.35-2.41
Li 0.5000 0.5584 0.0000 [1 per cell]  4 O 2.04-2.23
Ga 0.0000 0.3986 0.0000 [1 per cell]  6 O 1.91-2.08
Ga 0.0000 0.7030 0.5000 [1 per cell]  6 O 1.91-2.05
Ga 0.5000 0.1987 0.0000 [1 per cell]  6 O 1.91-2.11
Ga 0.5000 0.8950 0.5000 [1 per cell]  6 O 1.92-2.06
Si 0.1927 0.3925 0.7086 [2 per cell]  4 O 1.60-1.65
Si 0.2004 0.7072 0.2059 [2 per cell]  4 O 1.61-1.65
Si 0.3023 0.8889 0.7927 [2 per cell]  4 O 1.61-1.65
Si 0.3088 0.2071 0.2909 [2 per cell]  4 O 1.60-1.65
O 0.0847 0.7901 0.8544 [2 per cell]  2 Si 1.64-1.65
O 0.0924 0.3093 0.3516 [2 per cell]  2 Si 1.64-1.65
O 0.1944 0.5611 0.6404 [2 per cell]  1 Si 1.60
O 0.2103 0.5387 0.1359 [2 per cell]  1 Si 1.61
O 0.2253 0.8774 0.6119 [2 per cell]  1 Si 1.65
O 0.2279 0.2202 0.1105 [2 per cell]  1 Si 1.65
O 0.2763 0.3838 0.8894 [2 per cell]  1 Si 1.65
O 0.2759 0.7190 0.3867 [2 per cell]  1 Si 1.65
O 0.3008 0.0605 0.8577 [2 per cell]  1 Si 1.61
O 0.3055 0.0382 0.3589 [2 per cell]  1 Si 1.60
O 0.4065 0.2902 0.6463 [2 per cell]  2 Si 1.64-1.65
O 0.4134 0.8081 0.1431 [2 per cell]  2 Si 1.64-1.65

Summary:
theoretical density: 3.82 g/cm3
N(E_F): 0.0 states/eV per cell
E_form (uncorrected): -2.709 eV/atom
E: -10.4616 eV per atom

---

Entry 2:
A crystal of Na2LiTiGa relaxed with PBEsol, computed with SCAN.

Cell: 5.7512 5.7512 5.0753 Å, 90.00 90.00 90.00°
Last column: nearest neighbours and their distance in Å.
Space group P4/mmm (No. 123)
Symmetry-distinct sites (fractional):
Na 0.0000 0.5000 0.0000 [2 per cell]  2 Ti 2.88
Li 0.0000 0.0000 0.5000 [1 per cell]  2 Ti 2.54
Ti 0.0000 0.0000 0.0000 [1 per cell]  2 Li 2.54
Ga 0.5000 0.5000 0.5000 [1 per cell]  8 Na 3.84, 4 Li 4.07

Summary:
ΔH_f (0 K): 1.092 eV/atom
theoretical density: 1.69 g/cm3
N(E_F): 4.4 states/eV per cell
E: -7.5467 eV per atom